(1)
# GGA-PBE DyErNiPd, relaxed
data_DyErNiPd
_cell_length_a 4.359
_cell_length_b 3.751
_cell_length_c 10.306
_cell_angle_alpha 90.00
_cell_angle_beta 90.00
_cell_angle_gamma 90.00
_space_group_name_H-M_alt 'A m m 2'
_space_group_IT_number 38
_space_group_name_Hall 'A 2 -2'
loop_
_atom_site_label
_atom_site_type_symbol
_atom_site_fract_x
_atom_site_fract_y
_atom_site_fract_z
Dy1 Dy 0.000 0.000 0.000
Er1 Er 0.500 0.000 0.721
Ni1 Ni 0.000 0.000 0.278
Pd1 Pd 0.500 0.000 0.438
# **ΔH_f (0 K)**: -0.683 eV/atom
# **Distance to the lowest polymorph of the same formula**: 0.0 kJ per mole of atoms
# **ρ**: 9.75 Mg/m³
# **Electronic total energy**: -5.718 eV/atom



(2)
# GGA-PBE DyErNiPd, relaxed
data_DyErNiPd
_cell_length_a 6.878
_cell_length_b 6.878
_cell_length_c 6.878
_cell_angle_alpha 90.00
_cell_angle_beta 90.00
_cell_angle_gamma 90.00
_space_group_name_H-M_alt 'F -4 3 m'
_space_group_IT_number 216
_space_group_name_Hall 'F -4 2 3'
loop_
_atom_site_label
_atom_site_type_symbol
_atom_site_fract_x
_atom_site_fract_y
_atom_site_fract_z
Dy1 Dy 0.000 0.000 0.000
Er1 Er 0.000 0.000 0.500
Ni1 Ni 0.250 0.250 0.250
Pd1 Pd 0.250 0.250 0.750
# **ΔH_f (0 K)**: -0.642 eV/atom
# **Distance to the lowest polymorph of the same formula**: 4.0 kJ per mole of atoms
# **ρ**: 10.10 Mg/m³
# **Electronic total energy**: -5.677 eV/atom



(3)
# GGA-PBE DyErNiRh, relaxed
data_DyErNiRh
_cell_length_a 6.787
_cell_length_b 6.787
_cell_length_c 6.787
_cell_angle_alpha 90.00
_cell_angle_beta 90.00
_cell_angle_gamma 90.00
_space_group_name_H-M_alt 'F -4 3 m'
_space_group_IT_number 216
_space_group_name_Hall 'F -4 2 3'
loop_
_atom_site_label
_atom_site_type_symbol
_atom_site_fract_x
_atom_site_fract_y
_atom_site_fract_z
Dy1 Dy 0.000 0.000 0.000
Er1 Er 0.000 0.000 0.500
Ni1 Ni 0.250 0.250 0.250
Rh1 Rh 0.250 0.250 0.750
# **ΔH_f (0 K)**: -0.654 eV/atom
# **Distance to the lowest polymorph of the same formula**: 1.7 kJ per mole of atoms
# **ρ**: 10.44 Mg/m³
# **Electronic total energy**: -6.228 eV/atom



(4)
# GGA-PBE DyErNiRh, relaxed
data_DyErNiRh
_cell_length_a 4.121
_cell_length_b 3.791
_cell_length_c 10.466
_cell_angle_alpha 90.00
_cell_angle_beta 90.00
_cell_angle_gamma 90.00
_space_group_name_H-M_alt 'A m m 2'
_space_group_IT_number 38
_space_group_name_Hall 'A 2 -2'
loop_
_atom_site_label
_atom_site_type_symbol
_atom_site_fract_x
_atom_site_fract_y
_atom_site_fract_z
Dy1 Dy 0.000 0.000 0.000
Er1 Er 0.500 0.000 0.283
Ni1 Ni 0.500 0.000 0.563
Rh1 Rh 0.000 0.000 0.721
# **ΔH_f (0 K)**: -0.671 eV/atom
# **Distance to the lowest polymorph of the same formula**: 0.0 kJ per mole of atoms
# **ρ**: 9.98 Mg/m³
# **Electronic total energy**: -6.246 eV/atom



(5)
# GGA-PBE DyErNiRu, relaxed
data_DyErNiRu
_cell_length_a 3.386
_cell_length_b 3.386
_cell_length_c 6.719
_cell_angle_alpha 90.00
_cell_angle_beta 90.00
_cell_angle_gamma 90.00
_space_group_name_H-M_alt 'P 4 m m'
_space_group_IT_number 99
_space_group_name_Hall 'P 4 -2'
loop_
_atom_site_label
_atom_site_type_symbol
_atom_site_fract_x
_atom_site_fract_y
_atom_site_fract_z
Dy1 Dy 0.000 0.000 0.000
Er1 Er 0.000 0.000 0.497
Ni1 Ni 0.500 0.500 0.745
Ru1 Ru 0.500 0.500 0.251
# **ΔH_f (0 K)**: -0.439 eV/atom
# **Distance to the lowest polymorph of the same formula**: 0.0 kJ per mole of atoms
# **ρ**: 10.55 Mg/m³
# **Electronic total energy**: -6.494 eV/atom



(6)
# GGA-PBE DyErNiRu, relaxed
data_DyErNiRu
_cell_length_a 6.750
_cell_length_b 6.750
_cell_length_c 6.750
_cell_angle_alpha 90.00
_cell_angle_beta 90.00
_cell_angle_gamma 90.00
_space_group_name_H-M_alt 'F -4 3 m'
_space_group_IT_number 216
_space_group_name_Hall 'F -4 2 3'
loop_
_atom_site_label
_atom_site_type_symbol
_atom_site_fract_x
_atom_site_fract_y
_atom_site_fract_z
Dy1 Dy 0.000 0.000 0.000
Er1 Er 0.000 0.000 0.500
Ni1 Ni 0.250 0.250 0.750
Ru1 Ru 0.250 0.250 0.250
# **ΔH_f (0 K)**: -0.420 eV/atom
# **Distance to the lowest polymorph of the same formula**: 1.8 kJ per mole of atoms
# **ρ**: 10.57 Mg/m³
# **Electronic total energy**: -6.475 eV/atom



The following DOS(E_F) values (in states/eV/f.u.) correspond, in order, to the records above: 2.86, 3.54, 1.85, 2.31, 1.81, 2.49.